VASP calculation (PBE) on RbVAu after structural relaxation.

Its distance to the lowest polymorph of the same formula is 28.6 kJ/mol of formula units. The value obtained for the energy relative to the elements is 0.3679 eV per atom.

The space group is Pm (No. 6) and the conventional cell measures 4.717, 5.202 and 7.233 Å, with angles of 90.00, 108.89 and 90.00 degrees. The distinct sites, in fractional coordinates, are Rb at (0.000, 0.000, 0.000), Rb at (0.426, 0.500, 0.849), V at (0.724, 0.314, 0.442), Au at (0.160, 0.500, 0.314) and Au at (0.258, 0.000, 0.510).